Crystalline Cr2CdPbO8 at its relaxed geometry. Source: Alexandria via LeMat-Bulk, functional GGA+U.

Values from the calculation:
calculated total energy = -6.11 eV per atom
total magnetic moment = 0.00 μB/cell

Lattice parameters (Å, degrees): 5.1865 5.1865 7.8915 70.82 70.82 60.00
Fractional positions:
O: 0.4312 0.7121 0.8113
O: 0.9546 0.5688 0.1887
O: 0.0454 0.4312 0.8113
O: 0.1719 0.1719 0.4844
O: 0.8281 0.8281 0.5156
O: 0.5688 0.2879 0.1887
O: 0.7121 0.0454 0.8113
O: 0.2879 0.9546 0.1887
Cr: 0.7523 0.7523 0.7430
Cr: 0.2477 0.2477 0.2570
Pb: 0.5000 0.5000 0.5000
Cd: 0.0000 0.0000 0.0000